Here is a geometry-optimized Tm2BeCo2 structure from the Alexandria database. Energies are from PBE.

Cell: 5.347 5.347 6.930 Å, 78.43 78.43 58.12°
Atoms (fractional coordinates):
Co 0.736 0.003 0.508
Co 0.997 0.264 0.992
Co 0.264 0.997 0.492
Co 0.003 0.736 0.008
Tm 0.784 0.510 0.353
Tm 0.510 0.784 0.853
Tm 0.490 0.216 0.147
Tm 0.216 0.490 0.647
Be 0.893 0.107 0.750
Be 0.107 0.893 0.250

## Properties
Energy of formation in eV/atom: -0.254
SG: C2/c (15)